Entry 1:
CrCdTe2 | Alexandria | PBEsol | relaxed; energy relative to the elements, uncorrected = 0.255 eV/atom; symmetry = No. 12
1.0
6.384 0.000 0.000
0.000 8.126 0.000
-1.708 0.000 3.872
Cr Cd Te
2 2 4
Direct
0.000 0.000 0.000 Cr
0.500 0.500 0.000 Cr
0.000 0.500 0.000 Cd
0.500 0.000 0.000 Cd
0.250 0.250 0.500 Te
0.250 0.750 0.500 Te
0.750 0.250 0.500 Te
0.750 0.750 0.500 Te

Entry 2:
CrCdTe2 | Alexandria | PBEsol | relaxed; energy relative to the elements, uncorrected = 0.087 eV/atom; symmetry = No. 44
1.0
3.733 0.000 0.000
0.000 3.911 0.000
0.000 0.000 13.444
Cr Cd Te
2 2 4
Direct
0.000 0.000 0.000 Cr
0.500 0.500 0.500 Cr
0.000 0.500 0.250 Cd
0.500 0.000 0.750 Cd
0.000 0.000 0.425 Te
0.000 0.500 0.651 Te
0.500 0.000 0.151 Te
0.500 0.500 0.925 Te

Entry 3:
CrCd3Te4 | Alexandria | PBEsol | relaxed; energy relative to the elements, uncorrected = -0.170 eV/atom; symmetry = No. 215
1.0
6.396 0.000 0.000
0.000 6.396 0.000
0.000 0.000 6.396
Cr Cd Te
1 3 4
Direct
0.000 0.000 0.000 Cr
0.000 0.500 0.500 Cd
0.500 0.000 0.500 Cd
0.500 0.500 0.000 Cd
0.240 0.240 0.240 Te
0.240 0.760 0.760 Te
0.760 0.240 0.760 Te
0.760 0.760 0.240 Te

Entry 4:
Cr2CdTe | Alexandria | PBEsol | relaxed; energy relative to the elements, uncorrected = 0.579 eV/atom; symmetry = No. 44
1.0
3.739 0.000 0.000
0.000 4.109 0.000
0.000 0.000 9.802
Cr Cd Te
4 2 2
Direct
0.000 0.000 0.000 Cr
0.000 0.500 0.245 Cr
0.500 0.000 0.745 Cr
0.500 0.500 0.500 Cr
0.000 0.000 0.476 Cd
0.500 0.500 0.976 Cd
0.000 0.500 0.718 Te
0.500 0.000 0.218 Te

| no. | total magnetization (μB/f.u.) | total DFT energy (no corrections) (eV per atom) |
| --- | --- | --- |
| 1 | 4.4 | -4.3683 |
| 2 | 3.6 | -4.5363 |
| 3 | 4.0 | -3.6621 |
| 4 | 7.2 | -5.7226 |